# CoH30C28N4O6

A relaxed structure of CoH30C28N4O6 (PBE with a Hubbard U, OQMD).

Structure (extended XYZ):
```
69
Lattice="5.9740 0.0000 0.0000 1.5796 8.9546 0.0000 1.9630 1.7723 12.5338" Properties=species:S:1:pos:R:3 pbc="T T T"
Co 0.0000 0.0000 0.0000
H 1.3208 2.2600 1.4718
H 2.4623 6.1252 3.5646
H 3.3784 5.7288 10.1032
H 3.2972 3.9365 11.6726
H 2.1537 3.6975 3.1448
H 2.8378 4.3177 6.0796
H 3.4324 7.3919 6.2666
H 3.9964 9.7117 5.7973
H 5.0092 8.2611 12.2500
H 3.7640 8.8720 1.5257
H 2.7706 4.0311 0.0405
H 4.1086 5.6672 7.7419
H 4.1728 2.2016 10.3983
H 2.6985 0.1520 0.0362
H 3.9781 2.0869 3.6568
H 5.6811 9.2792 6.1317
H 4.6588 1.5411 8.0446
H 4.7892 4.8264 1.5593
H 5.2120 7.2510 1.1494
H 5.7482 7.6004 4.5091
H 6.1098 9.0816 2.4130
H 6.0428 3.1475 9.1460
H 7.0794 5.4698 11.5506
H 6.4027 5.3531 5.1060
H 5.5627 2.5665 1.4922
H 6.1199 2.9207 4.6246
H 8.1536 9.0670 10.3955
H 6.7592 3.0931 6.7918
H 7.6537 8.9909 2.8185
H 8.4708 8.3367 8.0452
C 3.0708 9.3606 9.8369
C 3.2565 8.9570 8.5230
C 2.8034 5.1522 9.3789
C 2.5070 4.3604 7.1157
C 2.1226 6.0706 0.1152
C 1.9706 4.7134 0.3167
C 3.2212 5.1118 8.0498
C 4.4095 9.3643 7.8413
C 3.2643 5.4229 3.7991
C 3.8468 8.2931 3.7916
C 3.4851 1.5621 9.8464
C 3.0951 4.0552 3.5621
C 4.6419 9.0363 6.4030
C 5.3275 10.1500 8.5354
C 4.6858 7.3646 4.6845
C 4.4579 5.8990 4.3589
C 4.1129 3.1495 3.8614
C 5.9923 3.6570 11.5012
C 5.4748 4.9827 4.6634
C 5.3095 3.6213 4.4096
C 5.7384 5.1529 1.1342
C 5.9715 6.5052 0.9180
C 7.2891 4.4195 11.2759
C 6.9368 3.6935 8.8486
C 7.6634 4.4164 9.7995
C 7.3404 3.6660 7.5159
C 6.4802 2.7587 0.9259
C 6.7318 4.2290 0.8121
N 2.3719 3.8676 12.1383
N 3.9515 10.1367 10.4962
N 4.4194 7.6212 6.1035
N 7.1232 6.9563 0.3995
O 2.6106 8.3787 4.0246
O 3.5074 8.7178 0.5538
O 4.4626 8.9451 2.8747
O 4.9317 4.2095 11.1494
O 6.0571 2.4719 12.0101
O 5.4455 0.3514 2.0967
```

## Properties
SG: P1
Calculated total energy in Ry/atom: -0.47164
Calculated volume in Å³/cell: 670.5